Version a
Below is an optimized crystal structure of CeGdP, with properties calculated at the PBE-GGA level.

abc: 4.801 4.801 4.801
angles: 60.00 60.00 60.00
Fractional coordinates of all 3 atoms:
Ce (0.000, 0.000, 0.000)
Gd (0.500, 0.500, 0.500)
P (0.750, 0.750, 0.750)

Summary:
space-group type: F-43m (216)

Version b
Below is an optimized crystal structure of CeGdP, with properties calculated at the PBE-GGA level.

abc: 3.900 3.900 6.629
angles: 90.00 90.00 120.00
Fractional coordinates of all 3 atoms:
Ce (0.000, 0.000, 0.000)
Gd (0.333, 0.667, 0.501)
P (0.667, 0.333, 0.747)

Summary:
space-group type: P3m1 (156)

Short version: version a is the least stable of them.

Version a
Below is an optimized crystal structure of CeGdPa2, with properties calculated at the PBE-GGA level.

abc: 5.687 5.687 5.687
angles: 54.02 54.02 54.02
Fractional coordinates of all 4 atoms:
Ce (0.000, 0.000, 0.000)
Gd (0.500, 0.500, 0.500)
Pa (0.290, 0.290, 0.290)
Pa (0.710, 0.710, 0.710)

Summary:
space-group type: R-3m (166)

Version b
Below is an optimized crystal structure of CeGdPa2, with properties calculated at the PBE-GGA level.

abc: 4.620 4.620 4.947
angles: 90.00 90.00 90.00
Fractional coordinates of all 4 atoms:
Ce (0.000, 0.000, 0.000)
Gd (0.500, 0.500, 0.000)
Pa (0.000, 0.500, 0.500)
Pa (0.500, 0.000, 0.500)

Summary:
space-group type: P4/mmm (123)

Short version: version a is the least stable of them.